The following is a DFT calculation (PBE-GGA) of crystalline Ac4CuIrCl2 at its relaxed geometry.

Geometry as POSCAR:
```
Ac4CuIrCl2
1.0
7.573 0.000 0.000
0.000 4.423 0.000
-2.558 0.000 7.900
Ac Cu Ir Cl
4 1 1 2
Cartesian
1.207 0.000 1.612
-0.100 2.212 6.284
5.115 2.212 1.616
3.808 0.000 6.289
3.786 0.000 0.000
0.000 2.212 0.000
-1.279 0.000 3.950
2.508 2.212 3.950
```

## Properties
* calculated volume: 264.6 Å³/cell
* calculated density: 7.75 g/cm3
* SG: P2/m (10)
* formation energy from raw total energies: -24.01 kcal/mol of atoms

=====

The following is a DFT calculation (PBE-GGA) of crystalline SbMoPt3 at its relaxed geometry.

Geometry as POSCAR:
```
SbMoPt3
1.0
4.850 0.000 0.000
0.000 4.850 0.000
0.000 0.000 4.850
Sb Mo Pt
1 1 3
Cartesian
0.000 0.000 0.000
2.425 2.425 2.425
0.000 2.425 2.425
2.425 0.000 2.425
2.425 2.425 0.000
```

## Properties
* excess energy over the best structure of this formula in the dataset: 0.0 meV/atom
* calculated volume: 114.1 Å³/cell
* calculated density: 11.69 g/cm3
* SG: Pm-3m (221)
* formation energy from raw total energies: 21.52 kcal/mol of atoms

=====

The following is a DFT calculation (PBE-GGA) of crystalline LiZr2Ta at its relaxed geometry.

Geometry as POSCAR:
```
LiZr2Ta
1.0
5.424 -1.535 0.000
5.424 1.535 0.000
-2.034 0.000 4.802
Li Zr Ta
1 2 1
Cartesian
0.000 0.000 0.000
4.651 0.000 2.396
7.837 0.000 0.634
1.687 0.000 3.133
```

## Properties
* excess energy over the best structure of this formula in the dataset: 108.7 meV/atom
* ΔH_f (0 K): 0.25 eV per atom
* calculated volume: 79.9 Å³/cell
* calculated density: 7.69 g/cm3
* SG: Cm (8)

=====

The following is a DFT calculation (PBE-GGA) of crystalline ZnNiH2 at its relaxed geometry.

Geometry as POSCAR:
```
ZnNiH2
1.0
1.551 0.895 4.209
-1.551 0.895 4.209
0.000 -1.791 4.209
Zn Ni H
1 1 2
Cartesian
0.000 0.000 0.000
0.000 0.000 6.313
0.000 0.000 4.806
0.000 0.000 7.820
```

## Properties
* calculated volume: 35.1 Å³/cell
* calculated density: 5.97 g/cm3
* SG: R-3m (166)
* raw total energy: -3.214 eV/atom